PBE with a Hubbard U Rb2MnAgF6, optimized geometry; space-group type = I4/mmm, No. 139; M_tot = 0.400 μB per atom; VASP energy = -47.19 eV/cell; theoretical density = 4.34 g/cm³
1.0
-1.225 6.054 0.737
-5.288 -1.429 2.948
-1.096 2.280 5.703
F Rb Mn Ag
6 2 1 1
Direct
0.719 0.281 0.000
0.719 0.719 0.000
0.281 0.281 0.000
0.281 0.719 0.000
0.259 0.259 0.481
0.741 0.741 0.519
0.750 0.250 0.500
0.250 0.750 0.500
0.500 0.500 0.000
0.000 0.000 0.000